# Ac12Co5Cu3

A geometry-optimized Ac12Co5Cu3 structure (GGA-PBE, the Alexandria database). Values from VASP.

Properties
raw total energy = -4.7018 eV/atom
formation energy from the elements = 3.1 eV/f.u.

The structure in Quantum ESPRESSO input format:
```
&SYSTEM
  ibrav = 0, nat = 80, ntyp = 3
/
ATOMIC_SPECIES
Cu 63.55 Cu.upf
Co 58.93 Co.upf
Ac 227.00 Ac.upf
ATOMIC_POSITIONS crystal
Cu 0.7500 0.3750 0.1250
Cu 0.8750 0.7500 0.1250
Cu 0.3750 0.7500 0.6250
Cu 0.2500 0.1250 0.3750
Cu 0.8750 0.1250 0.2500
Cu 0.3750 0.6250 0.2500
Cu 0.6250 0.3750 0.7500
Cu 0.1250 0.8750 0.7500
Cu 0.7500 0.8750 0.6250
Cu 0.6250 0.2500 0.3750
Cu 0.1250 0.2500 0.8750
Cu 0.2500 0.6250 0.8750
Co 0.1250 0.3750 0.2500
Co 0.0000 0.5000 0.0000
Co 0.0000 0.0000 0.0000
Co 0.3750 0.2500 0.1250
Co 0.5000 0.0000 0.5000
Co 0.5000 0.5000 0.0000
Co 0.1250 0.7500 0.3750
Co 0.7500 0.1250 0.8750
Co 0.7500 0.6250 0.3750
Co 0.3750 0.1250 0.7500
Co 0.6250 0.8750 0.2500
Co 0.5000 0.5000 0.5000
Co 0.5000 0.0000 0.0000
Co 0.0000 0.0000 0.5000
Co 0.2500 0.3750 0.6250
Co 0.2500 0.8750 0.1250
Co 0.0000 0.5000 0.5000
Co 0.8750 0.2500 0.6250
Co 0.6250 0.7500 0.8750
Co 0.8750 0.6250 0.7500
Ac 0.7090 0.1232 0.0303
Ac 0.3213 0.5303 0.4071
Ac 0.9697 0.3768 0.2910
Ac 0.5303 0.2090 0.1232
Ac 0.5858 0.7090 0.6787
Ac 0.9697 0.5929 0.1787
Ac 0.3213 0.7910 0.4142
Ac 0.0929 0.9142 0.1232
Ac 0.5929 0.9697 0.6787
Ac 0.7090 0.5858 0.1787
Ac 0.7910 0.4697 0.3768
Ac 0.8213 0.9071 0.0303
Ac 0.1232 0.7090 0.5303
Ac 0.3768 0.4071 0.0858
Ac 0.0858 0.9071 0.3768
Ac 0.4142 0.1232 0.5929
Ac 0.0858 0.1787 0.2090
Ac 0.4697 0.6787 0.0929
Ac 0.8213 0.9142 0.2910
Ac 0.1232 0.4142 0.0929
Ac 0.3768 0.9697 0.7910
Ac 0.5929 0.6232 0.4142
Ac 0.9071 0.8213 0.5303
Ac 0.7910 0.3213 0.9142
Ac 0.4071 0.3768 0.5858
Ac 0.0929 0.1787 0.4697
Ac 0.2090 0.6787 0.0858
Ac 0.1787 0.0858 0.7090
Ac 0.6232 0.0303 0.2090
Ac 0.8768 0.5858 0.9071
Ac 0.5303 0.3213 0.9071
Ac 0.5858 0.8768 0.4071
Ac 0.9142 0.8213 0.7910
Ac 0.9142 0.0929 0.6232
Ac 0.8768 0.2910 0.4697
Ac 0.1787 0.0929 0.9697
Ac 0.6232 0.5929 0.9142
Ac 0.4071 0.0303 0.3213
Ac 0.2910 0.4142 0.8213
Ac 0.2090 0.5303 0.6232
Ac 0.9071 0.0858 0.8768
Ac 0.6787 0.2090 0.5858
Ac 0.4697 0.7910 0.8768
Ac 0.0303 0.4071 0.8213
Ac 0.4142 0.2910 0.3213
Ac 0.0303 0.6232 0.7090
Ac 0.6787 0.4697 0.5929
Ac 0.2910 0.8768 0.9697
CELL_PARAMETERS angstrom
15.1640 0.0000 0.0000
-5.0547 14.2967 0.0000
-5.0547 -7.1484 12.3813
```